(1)
DFT (PBE-GGA) results for a relaxed InPt2I crystal.

The space group is I-42d (No. 122) and the conventional cell measures 5.1902, 5.1902 and 15.4156 Å, with angles of 90.00, 90.00 and 90.00 degrees. The distinct sites, in fractional coordinates, are In at (0.0000, 0.0000, 0.0000), Pt at (0.2377, 0.2500, 0.6250) and I at (0.0000, 0.0000, 0.5000).

The raw formation energy comes out at 0.9 eV per formula unit. For the energy relative to the lowest polymorph listed for this composition, the calculation gives 0.0000 eV per atom.


(2)
DFT (PBE-GGA) results for a relaxed Rb2InPtI crystal.

The space group is P4/mmm (No. 123) and the conventional cell measures 6.4826, 6.4826 and 5.1843 Å, with angles of 90.00, 90.00 and 90.00 degrees. The distinct sites, in fractional coordinates, are Rb at (0.0000, 0.5000, 0.0000), In at (0.0000, 0.0000, 0.5000), Pt at (0.0000, 0.0000, 0.0000) and I at (0.5000, 0.5000, 0.5000).

The raw formation energy comes out at -2.8 eV per formula unit.


(3)
DFT (PBE-GGA) results for a relaxed InSb2PtI crystal.

The space group is P4/mmm (No. 123) and the conventional cell measures 5.5972, 5.5972 and 5.5944 Å, with angles of 90.00, 90.00 and 90.00 degrees. The distinct sites, in fractional coordinates, are In at (0.0000, 0.0000, 0.0000), Sb at (0.0000, 0.5000, 0.0000), Pt at (0.5000, 0.5000, 0.5000) and I at (0.0000, 0.0000, 0.5000).

The raw formation energy comes out at 5.8 eV per formula unit. For the energy relative to the lowest polymorph listed for this composition, the calculation gives 0.9219 eV per atom.


(4)
DFT (PBE-GGA) results for a relaxed InSb2PtI crystal.

The space group is P4/mmm (No. 123) and the conventional cell measures 5.2599, 5.2599 and 5.8474 Å, with angles of 90.00, 90.00 and 90.00 degrees. The distinct sites, in fractional coordinates, are In at (0.0000, 0.0000, 0.0000), Sb at (0.0000, 0.5000, 0.5000), Pt at (0.5000, 0.5000, 0.5000) and I at (0.5000, 0.5000, 0.0000).

The raw formation energy comes out at 1.2 eV per formula unit. For the energy relative to the lowest polymorph listed for this composition, the calculation gives 0.0000 eV per atom.


(5)
DFT (PBE-GGA) results for a relaxed InSbPt2I crystal.

The space group is P4/mmm (No. 123) and the conventional cell measures 4.9697, 4.9697 and 6.1297 Å, with angles of 90.00, 90.00 and 90.00 degrees. The distinct sites, in fractional coordinates, are In at (0.0000, 0.0000, 0.0000), Sb at (0.5000, 0.5000, 0.0000), Pt at (0.0000, 0.5000, 0.5000) and I at (0.5000, 0.5000, 0.5000).

The raw formation energy comes out at 4.6 eV per formula unit.


(6)
DFT (PBE-GGA) results for a relaxed SrIn2PtI crystal.

The space group is P4/mmm (No. 123) and the conventional cell measures 5.1928, 5.1928 and 6.1867 Å, with angles of 90.00, 90.00 and 90.00 degrees. The distinct sites, in fractional coordinates, are Sr at (0.0000, 0.0000, 0.0000), In at (0.0000, 0.5000, 0.5000), Pt at (0.0000, 0.0000, 0.5000) and I at (0.5000, 0.5000, 0.0000).

The raw formation energy comes out at -3.5 eV per formula unit.


(7)
DFT (PBE-GGA) results for a relaxed Sr2InPtI crystal.

The space group is P4/mmm (No. 123) and the conventional cell measures 6.0181, 6.0181 and 5.1214 Å, with angles of 90.00, 90.00 and 90.00 degrees. The distinct sites, in fractional coordinates, are Sr at (0.0000, 0.5000, 0.0000), In at (0.0000, 0.0000, 0.5000), Pt at (0.0000, 0.0000, 0.0000) and I at (0.5000, 0.5000, 0.5000).

The raw formation energy comes out at -4.1 eV per formula unit.


(8)
DFT (PBE-GGA) results for a relaxed InTePtI2 crystal.

The space group is P4/mmm (No. 123) and the conventional cell measures 5.7186, 5.7186 and 5.2704 Å, with angles of 90.00, 90.00 and 90.00 degrees. The distinct sites, in fractional coordinates, are In at (0.0000, 0.0000, 0.0000), Te at (0.5000, 0.5000, 0.0000), Pt at (0.5000, 0.5000, 0.5000) and I at (0.0000, 0.5000, 0.5000).

The raw formation energy comes out at 0.0 eV per formula unit. For the energy relative to the lowest polymorph listed for this composition, the calculation gives 0.0000 eV per atom.